The following is a PBE calculation of YScAs2Br after structural relaxation, from Alexandria via LeMat-Bulk.

Energy relative to the elements, uncorrected   -0.191 eV per atom

a b c (Å): 5.4285 5.4285 5.3004
angles (deg): 90.00 90.00 90.00
Space group P4/mmm (No. 123)
Asymmetric unit:
Y 0.0000 0.0000 0.0000 x1
Sc 0.5000 0.5000 0.5000 x1
As 0.0000 0.5000 0.0000 x2
Br 0.0000 0.0000 0.5000 x1

The following is a PBE calculation of PrNd2Eu after structural relaxation, from Alexandria via LeMat-Bulk.

Formation enthalpy at 0 K   57 meV per atom

a b c (Å): 5.2615 5.2615 5.2620
angles (deg): 90.00 90.00 90.00
Space group P4/mmm (No. 123)
Asymmetric unit:
Pr 0.0000 0.0000 0.0000 x1
Nd 0.0000 0.5000 0.5000 x2
Eu 0.5000 0.5000 0.0000 x1

The following is a PBE calculation of HoAlAu after structural relaxation, from Alexandria via LeMat-Bulk.

Formation enthalpy at 0 K   -779 meV per atom

a b c (Å): 7.1522 4.2689 12.3211
angles (deg): 90.00 90.26 90.00
Space group P2_1/m (No. 11)
Asymmetric unit:
Ho 0.0075 0.2500 0.3737 x2
Ho 0.1474 0.2500 0.0825 x2
Ho 0.4884 0.7500 0.7027 x2
Al 0.1567 0.2500 0.7963 x2
Al 0.3366 0.7500 0.4569 x2
Al 0.4863 0.7500 0.0888 x2
Au 0.2208 0.7500 0.2478 x2
Au 0.2754 0.7500 0.9106 x2
Au 0.2795 0.2500 0.5732 x2

no.,size of the total moment (μB/f.u.)
1,0.2
2,7.2
3,0.0